Density functional theory data (PBE) for a relaxed Hg2AsAu crystal.

The space group is P2/m (10). The electronic total energy is -7.71 eV/cell. For the relative energy among the computed polymorphs, the calculation gives 78 meV/atom. The energy relative to the elements comes out at 0.205 eV/atom. As for the density: 12.48 g/cm³.

Cell lengths 4.9768, 2.9420, 6.7918 Å; angles 115.73, 90.00, 90.00 degrees
Fractional positions:
As1 0.5000 0.2500 0.2500
Au1 0.5000 0.7500 0.7500
Hg1 0.0000 0.9946 0.9970
Hg2 0.0000 0.5054 0.5030

---

Density functional theory data (PBE) for a relaxed Li2CrGeN4 crystal.

The space group is Pmn2_1 (31). As for the formation energy from raw total energies: -285.4 kJ/mol of formula units. The electronic total energy is -108.66 eV/cell. As for the density: 3.59 g/cm³.

Cell lengths 5.0977, 5.7563, 6.1351 Å; angles 90.00, 90.00, 90.00 degrees
Fractional positions:
Li1 0.4922 0.3362 0.2485
Li2 0.4922 0.3362 0.7515
Li3 0.9922 0.6638 0.7485
Li4 0.9922 0.6638 0.2515
Cr1 0.5015 0.8380 0.5000
Cr2 0.0015 0.1620 0.0000
Ge1 0.9991 0.1596 0.5000
Ge2 0.4991 0.8404 0.0000
N1 0.3369 0.1328 0.0000
N2 0.8369 0.8672 0.5000
N3 0.3660 0.1128 0.5000
N4 0.8660 0.8872 0.0000
N5 0.4060 0.6893 0.7425
N6 0.9060 0.3107 0.2425
N7 0.9060 0.3107 0.7575
N8 0.4060 0.6893 0.2575

---

Density functional theory data (PBE) for a relaxed LaCdSnHg crystal.

The space group is Pmmm (47). The electronic total energy is -12.03 eV/cell. For the relative energy among the computed polymorphs, the calculation gives 0 meV/atom. The energy relative to the elements comes out at -0.470 eV/atom. As for the density: 8.79 g/cm³.

Cell lengths 4.5687, 4.7441, 4.9730 Å; angles 90.00, 90.00, 90.00 degrees
Fractional positions:
La1 0.0000 0.5000 0.5000
Cd1 0.0000 0.0000 0.0000
Sn1 0.5000 0.0000 0.5000
Hg1 0.5000 0.5000 0.0000

---

Density functional theory data (PBE) for a relaxed TaTcIr2 crystal.

The space group is I4/mmm (139). The electronic total energy is -41.83 eV/cell. For the relative energy among the computed polymorphs, the calculation gives 36 meV/atom. The energy relative to the elements comes out at -0.473 eV/atom. As for the density: 18.09 g/cm³.

Cell lengths 4.8207, 4.8207, 4.8207 Å; angles 131.86, 131.84, 70.46 degrees
Fractional positions:
Ir1 0.0000 0.0000 0.0000
Ir2 0.5000 0.5000 0.0000
Tc1 0.2500 0.7500 0.5000
Ta1 0.7500 0.2500 0.5000

---

Density functional theory data (PBE) for a relaxed Hf2TiBi2 crystal.

The space group is P2_1/m (11). The electronic total energy is -71.79 eV/cell. For the relative energy among the computed polymorphs, the calculation gives 39 meV/atom. The energy relative to the elements comes out at -0.066 eV/atom. As for the density: 11.79 g/cm³.

Cell lengths 5.2145, 5.6005, 8.8903 Å; angles 63.24, 90.00, 90.00 degrees
Fractional positions:
Hf1 0.2500 0.4109 0.4450
Hf2 0.2500 0.0400 0.2323
Hf3 0.7500 0.9600 0.7677
Hf4 0.7500 0.5891 0.5550
Ti1 0.2500 0.2026 0.8133
Ti2 0.7500 0.7974 0.1867
Bi1 0.7500 0.3350 0.9404
Bi2 0.7500 0.1993 0.3689
Bi3 0.2500 0.8007 0.6311
Bi4 0.2500 0.6650 0.0596

---

Density functional theory data (PBE) for a relaxed Ba4Mg3In crystal.

The space group is P4/mmm (123). The electronic total energy is -16.38 eV/cell. The energy relative to the elements comes out at -0.145 eV/atom. As for the density: 3.74 g/cm³.

Cell lengths 4.3063, 4.3063, 17.6241 Å; angles 90.00, 90.00, 90.00 degrees
Fractional positions:
Mg1 0.5000 0.5000 0.2474
Mg2 0.5000 0.5000 0.5000
Mg3 0.5000 0.5000 0.7526
Ba1 0.0000 0.0000 0.8818
Ba2 0.0000 0.0000 0.1182
Ba3 0.0000 0.0000 0.3722
Ba4 0.0000 0.0000 0.6278
In1 0.5000 0.5000 0.0000